A plane-wave DFT calculation with PBE was carried out for an optimized crystal structure of AcLa2OsN5.

Cell: 7.0082 7.0082 7.6807 Å, 117.14 117.14 90.00°
Fractional positions:
N (0.9962, 0.4962, 0.7058)
N (0.2096, 0.9962, 0.7058)
N (0.5038, 0.2904, 0.2942)
N (0.0038, 0.5038, 0.2942)
N (0.0000, 0.0000, 0.0000)
N (0.7904, 0.0038, 0.2942)
N (0.5000, 0.5000, 0.0000)
N (0.7096, 0.2096, 0.7058)
N (0.4962, 0.7096, 0.7058)
N (0.2904, 0.7904, 0.2942)
La (0.6778, 0.1778, 0.0000)
La (0.1778, 0.3222, 0.0000)
La (0.3222, 0.8222, 0.0000)
La (0.8222, 0.6778, 0.0000)
Ac (0.2500, 0.2500, 0.5000)
Ac (0.7500, 0.7500, 0.5000)
Os (0.7500, 0.2500, 0.5000)
Os (0.2500, 0.7500, 0.5000)

Properties
Formation energy (no corrections)   -84 kJ/mol of atoms



A plane-wave DFT calculation with PBE was carried out for an optimized crystal structure of AlCrSe3.

Cell: 4.8526 4.8526 4.8526 Å, 90.00 90.00 90.00°
Each line ends with the local moment (μB).
Fractional positions:
Se (0.0000, 0.5000, 0.0000)  -0.14
Se (0.5000, 0.0000, 0.0000)  -0.20
Se (0.0000, 0.0000, 0.5000)  -0.13
Cr (0.0000, 0.0000, 0.0000)  2.38
Al (0.5000, 0.5000, 0.5000)  -0.05

Properties
Formation energy (no corrections)   15 kJ/mol of atoms
Polymorph energy (0 for the lowest one)   818 meV per atom



A plane-wave DFT calculation with PBE was carried out for an optimized crystal structure of KZr2Nb.

Cell: 5.1049 5.1049 5.1049 Å, 60.00 60.00 60.00°
Fractional positions:
K (0.0000, 0.0000, 0.0000)
Zr (0.7500, 0.7500, 0.7500)
Zr (0.2500, 0.2500, 0.2500)
Nb (0.5000, 0.5000, 0.5000)

Properties
DFT formation energy   0.997 eV per atom



A plane-wave DFT calculation with PBE was carried out for an optimized crystal structure of LiDyS2O8.

Cell: 7.5647 7.5647 5.9753 Å, 90.00 90.00 90.00°
Fractional positions:
S (0.7764, 0.2764, 0.2500)
S (0.7236, 0.7764, 0.7500)
S (0.2236, 0.7236, 0.2500)
S (0.2764, 0.2236, 0.7500)
Dy (0.0000, 0.5000, 0.7500)
Dy (0.5000, 0.0000, 0.2500)
O (0.5928, 0.2940, 0.3323)
O (0.7940, 0.0928, 0.1677)
O (0.0937, 0.6794, 0.4342)
O (0.4063, 0.1794, 0.9342)
O (0.9063, 0.3206, 0.4342)
O (0.4072, 0.7060, 0.3323)
O (0.3206, 0.0937, 0.5658)
O (0.6794, 0.9063, 0.5658)
O (0.2060, 0.9072, 0.1677)
O (0.7060, 0.5928, 0.6677)
O (0.5937, 0.8206, 0.9342)
O (0.9072, 0.7940, 0.8323)
O (0.2940, 0.4072, 0.6677)
O (0.1794, 0.5937, 0.0658)
O (0.8206, 0.4063, 0.0658)
O (0.0928, 0.2060, 0.8323)
Li (0.0000, 0.5000, 0.2500)
Li (0.5000, 0.0000, 0.7500)

Properties
Formation energy (no corrections)   -187 kJ/mol of atoms
Polymorph energy (0 for the lowest one)   55 meV per atom



A plane-wave DFT calculation with PBE was carried out for an optimized crystal structure of YSb2Os.

Cell: 9.4441 9.4441 9.4441 Å, 20.63 20.63 20.63°
Fractional positions:
Y (0.2500, 0.2500, 0.2500)
Sb (0.0139, 0.0139, 0.0139)
Sb (0.4861, 0.4861, 0.4861)
Os (0.7500, 0.7500, 0.7500)

Properties
Formation energy (no corrections)   15 kJ/mol of atoms
Polymorph energy (0 for the lowest one)   460 meV per atom



A plane-wave DFT calculation with PBE was carried out for an optimized crystal structure of YHfMo.

Cell: 6.1724 4.9349 10.5435 Å, 90.00 124.50 90.00°
Fractional positions:
Hf (0.0857, 0.5000, 0.1804)
Hf (0.9143, 0.0000, 0.3196)
Hf (0.0857, 0.0000, 0.6804)
Hf (0.9143, 0.5000, 0.8196)
Mo (0.5922, 0.5000, 0.1395)
Mo (0.5922, 0.0000, 0.6395)
Mo (0.4078, 0.0000, 0.3605)
Mo (0.4078, 0.5000, 0.8605)
Y (0.7145, 0.5000, 0.4593)
Y (0.2855, 0.5000, 0.5407)
Y (0.7145, 0.0000, 0.9593)
Y (0.2855, 0.0000, 0.0407)

Properties
DFT formation energy   0.168 eV per atom
Polymorph energy (0 for the lowest one)   56 meV per atom



A plane-wave DFT calculation with PBE was carried out for an optimized crystal structure of Na5La.

Cell: 3.6508 6.3462 9.9725 Å, 108.55 90.00 90.00°
Fractional positions:
Na (0.0000, 0.3483, 0.6965)
Na (0.5000, 0.1771, 0.3543)
Na (0.5000, 0.8229, 0.6457)
Na (0.5000, 0.5000, 0.0000)
Na (0.0000, 0.6517, 0.3035)
La (0.0000, 0.0000, 0.0000)

Properties
DFT formation energy   0.142 eV per atom



A plane-wave DFT calculation with PBE was carried out for an optimized crystal structure of EuInH.

Cell: 5.1586 10.7539 5.1889 Å, 90.00 90.00 103.88°
Each line ends with the local moment (μB).
Fractional positions:
In (0.5679, 0.1359, 0.5001)  0.00
In (0.4321, 0.8641, 0.4999)  0.00
In (0.9321, 0.8641, 0.0001)  0.00
In (0.0679, 0.1359, 0.9999)  0.00
H (0.0000, 0.5000, 0.2500)  -0.02
H (0.5000, 0.5000, 0.2500)  -0.02
H (0.5000, 0.5000, 0.7500)  -0.02
H (0.0000, 0.5000, 0.7500)  -0.02
Eu (0.1814, 0.3627, 0.5000)  6.80
Eu (0.8186, 0.6373, 0.5000)  6.80
Eu (0.6813, 0.3627, 0.0000)  6.80
Eu (0.3187, 0.6373, 0.0000)  6.80

Properties
Polymorph energy (0 for the lowest one)   0 meV per atom



A plane-wave DFT calculation with PBE was carried out for an optimized crystal structure of K2YCu.

Cell: 11.3703 11.3703 8.5047 Å, 48.05 48.05 90.00°
Fractional positions:
Cu (0.2500, 0.7500, 0.5000)
Cu (0.5000, 0.5000, 0.0000)
K (0.8750, 0.7588, 0.7500)
K (0.2412, 0.6250, 0.2500)
K (0.5088, 0.1250, 0.2500)
K (0.3750, 0.4912, 0.7500)
Y (0.0000, 0.0000, 0.0000)
Y (0.7500, 0.2500, 0.5000)

Properties
DFT formation energy   0.603 eV per atom
Polymorph energy (0 for the lowest one)   419 meV per atom



A plane-wave DFT calculation with PBE was carried out for an optimized crystal structure of Mn2InTe.

Cell: 7.5834 7.5834 6.1957 Å, 52.27 52.27 90.00°
Each line ends with the local moment (μB).
Fractional positions:
Mn (0.1163, 0.6250, 0.2500)  3.80
Mn (0.3750, 0.3663, 0.7500)  3.81
Mn (0.8750, 0.8837, 0.7500)  3.73
Mn (0.6337, 0.1250, 0.2500)  3.77
In (0.5000, 0.5000, 0.0000)  -0.09
In (0.2500, 0.7500, 0.5000)  -0.09
Te (0.0000, 0.0000, 0.0000)  0.01
Te (0.7500, 0.2500, 0.5000)  0.01

Properties
Formation energy (no corrections)   39 kJ/mol of atoms
Polymorph energy (0 for the lowest one)   224 meV per atom



A plane-wave DFT calculation with PBE was carried out for an optimized crystal structure of NpNbPd6.

Cell: 4.0654 4.0654 8.1568 Å, 90.00 90.00 90.00°
Each line ends with the local moment (μB).
Fractional positions:
Pd (0.5000, 0.5000, 0.0000)  -0.01
Pd (0.0000, 0.5000, 0.2658)  0.01
Pd (0.0000, 0.5000, 0.7342)  0.01
Pd (0.5000, 0.5000, 0.5000)  0.01
Pd (0.5000, 0.0000, 0.7342)  0.01
Pd (0.5000, 0.0000, 0.2658)  0.01
Np (0.0000, 0.0000, 0.0000)  3.66
Nb (0.0000, 0.0000, 0.5000)  0.31

Properties
DFT formation energy   -0.370 eV per atom



A plane-wave DFT calculation with PBE was carried out for an optimized crystal structure of MgGa2Ag5.

Cell: 5.6876 5.6876 5.6879 Å, 108.03 108.03 112.40°
Fractional positions:
Ga (0.7776, 0.2779, 0.5000)
Ga (0.2776, 0.7779, 0.5000)
Ag (0.2780, 0.2783, 0.5005)
Ag (0.2776, 0.2772, 0.0000)
Ag (0.7778, 0.2780, 0.0000)
Ag (0.2783, 0.7775, 0.0000)
Ag (0.7775, 0.7778, 0.4995)
Mg (0.7788, 0.7784, 0.0000)

Properties
DFT formation energy   -0.032 eV per atom
Polymorph energy (0 for the lowest one)   0 meV per atom



Number 1: V 16.01 A^3/atom. Number 2: V 22.85 A^3/atom. Number 3: V 23.52 A^3/atom. Number 4: V 14.25 A^3/atom. Number 5: V 22.88 A^3/atom. Number 6: V 22.06 A^3/atom. Number 7: V 36.51 A^3/atom. Number 8: V 23.29 A^3/atom. Number 9: V 44.81 A^3/atom. Number 10: V 22.31 A^3/atom. Number 11: V 16.85 A^3/atom. Number 12: V 17.67 A^3/atom.